Below is a geometry-optimized CdSbPO2 structure, with properties calculated at the GGA-PBE level.

Computed properties:
The calculation puts the formation energy without anion corrections at 310 meV per atom. The value obtained for the energy is -0.2766 Ry per atom. The mass density comes out at 5.65 g cm⁻³. The relative energy among the computed polymorphs comes out at 3.94 eV/f.u. As for the density of states at the Fermi level: 4.25 states/eV/cell.

```
data_CdSbPO2
_symmetry_space_group_name_H-M 'P 4/m m m'
_symmetry_Int_Tables_number 123
_symmetry_space_group_name_Hall '-P 4 2'
_cell_length_a 4.1451
_cell_length_b 4.1451
_cell_length_c 5.0853
_cell_angle_alpha 90.00
_cell_angle_beta 90.00
_cell_angle_gamma 90.00
loop_
_atom_site_label
_atom_site_type_symbol
_atom_site_fract_x
_atom_site_fract_y
_atom_site_fract_z
Cd1 Cd 0.0000 0.0000 0.0000
Sb1 Sb 0.5000 0.5000 0.5000
P1 P 0.0000 0.0000 0.5000
O1 O 0.0000 0.5000 0.0000
```